Record 1
## Ni4SnS8 (PBE)

Data for a relaxed Ni4SnS8 crystal.

Values from the calculation:
E_form (uncorrected): -2.91 eV/f.u.

Cell lengths 6.9884, 6.9884, 6.9884 Å; angles 60.00, 60.00, 60.00 degrees
Last column: nearest neighbours and their distance in Å.
Positions (direct):
Ni (0.8985, 0.3672, 0.3672)  6 S 2.25-2.39
Ni (0.3672, 0.8985, 0.3672)  6 S 2.25-2.39
Ni (0.3672, 0.3672, 0.8985)  6 S 2.25-2.39
Ni (0.3672, 0.3672, 0.3672)  6 S 2.25-2.39
Sn (0.7500, 0.7500, 0.7500)  4 S 2.46
S (0.5816, 0.1395, 0.1395)  3 Ni 2.25
S (0.1395, 0.5816, 0.1395)  3 Ni 2.25
S (0.1395, 0.1395, 0.5816)  3 Ni 2.25
S (0.1395, 0.1395, 0.1395)  3 Ni 2.25
S (0.1817, 0.6061, 0.6061)  3 Ni 2.39, 1 Sn 2.46
S (0.6061, 0.1817, 0.6061)  3 Ni 2.39, 1 Sn 2.46
S (0.6061, 0.6061, 0.1817)  3 Ni 2.39, 1 Sn 2.46
S (0.6061, 0.6061, 0.6061)  3 Ni 2.39, 1 Sn 2.46

---

Record 2
## Ni2Sn4S (PBE)

Data for a relaxed Ni2Sn4S crystal.

Values from the calculation:
E_form (uncorrected): 1.92 eV/f.u.

Cell lengths 5.1500, 5.1500, 7.3226 Å; angles 69.41, 69.41, 90.00 degrees
Last column: nearest neighbours and their distance in Å.
Positions (direct):
Ni (0.5906, 0.5906, 0.8187)  1 Ni 2.30, 1 Sn 2.43
Ni (0.4094, 0.4094, 0.1813)  1 Ni 2.30, 1 Sn 2.43
S (0.0000, 0.0000, 0.0000)  6 Sn 2.58-2.77
Sn (0.7818, 0.7818, 0.4364)  1 Ni 2.43
Sn (0.2182, 0.2182, 0.5636)  1 Ni 2.43
Sn (0.0000, 0.5000, 0.0000)  2 S 2.58, 4 Ni 2.82
Sn (0.5000, 0.0000, 0.0000)  2 S 2.58, 4 Ni 2.82

---

Record 3
## Ni2SnS (PBE)

Data for a relaxed Ni2SnS crystal.

Values from the calculation:
E_form (uncorrected): 0.10 eV/f.u.

Cell lengths 4.3076, 4.3076, 5.7543 Å; angles 68.02, 68.02, 60.00 degrees
Last column: nearest neighbours and their distance in Å.
Positions (direct):
Ni (0.1301, 0.1301, 0.6098)  1 S 2.02
Ni (0.8699, 0.8699, 0.3902)  1 S 2.02
S (0.0000, 0.0000, 0.0000)  2 Ni 2.02
Sn (0.5000, 0.5000, 0.5000)  6 Ni 2.55

---

Record 4
## NiSn2S (PBE)

Data for a relaxed NiSn2S crystal.

Values from the calculation:
E_form (uncorrected): -0.05 eV/f.u.

Cell lengths 6.1193, 6.1193, 7.0717 Å; angles 64.36, 64.36, 90.00 degrees
Last column: nearest neighbours and their distance in Å.
Positions (direct):
Ni (0.0000, 0.0000, 0.0000)  4 Sn 2.46
Ni (0.7500, 0.2500, 0.5000)  4 Sn 2.46
S (0.5000, 0.5000, 0.0000)  4 Sn 2.70
S (0.2500, 0.7500, 0.5000)  4 Sn 2.70
Sn (0.6588, 0.1250, 0.2500)  2 Ni 2.46, 2 S 2.70
Sn (0.0912, 0.6250, 0.2500)  2 Ni 2.46, 2 S 2.70
Sn (0.3750, 0.3412, 0.7500)  2 Ni 2.46, 2 S 2.70
Sn (0.8750, 0.9088, 0.7500)  2 Ni 2.46, 2 S 2.70

---

Record 5
## Ni9Sn2S2 (PBE)

Data for a relaxed Ni9Sn2S2 crystal.

Values from the calculation:
E_form (uncorrected): -3.30 eV/f.u.

Cell lengths 12.8137, 12.8137, 12.8137 Å; angles 163.32, 163.32, 23.67 degrees
Last column: nearest neighbours and their distance in Å.
Positions (direct):
Ni (0.5000, 0.0000, 0.5000)  8 Ni 2.61-2.63, 4 Sn 2.66
Ni (0.0000, 0.5000, 0.5000)  8 Ni 2.61-2.63, 4 Sn 2.66
Ni (0.4272, 0.4272, 0.0000)  8 Ni 2.61-2.71, 4 Sn 2.63
Ni (0.5728, 0.5728, 0.0000)  8 Ni 2.61-2.71, 4 Sn 2.63
Ni (0.3502, 0.8502, 0.5000)  2 S 2.25, 1 Ni 2.51
Ni (0.8483, 0.3483, 0.5000)  2 S 2.22
Ni (0.6517, 0.1517, 0.5000)  2 S 2.22
Ni (0.1498, 0.6498, 0.5000)  2 S 2.25, 1 Ni 2.51
Ni (0.2500, 0.7500, 0.5000)  4 S 2.24
S (0.2999, 0.2999, 0.0000)  6 Ni 2.22-2.25
S (0.7001, 0.7001, 0.0000)  6 Ni 2.22-2.25
Sn (0.9244, 0.9244, 0.0000)  12 Ni 2.63-2.66
Sn (0.0756, 0.0756, 0.0000)  12 Ni 2.63-2.66

---

Record 6
## Sr2NiSnS (PBE)

Data for a relaxed Sr2NiSnS crystal.

Values from the calculation:
E_form (uncorrected): -0.79 eV/f.u.

Cell lengths 5.5812, 5.3032, 5.5812 Å; angles 90.00, 90.00, 90.00 degrees
Last column: nearest neighbours and their distance in Å.
Positions (direct):
Sr (0.0000, 0.0000, 0.5000)  2 S 2.79
Sr (0.5000, 0.0000, 0.0000)  2 S 2.79
S (0.0000, 0.0000, 0.0000)  2 Sn 2.65, 4 Sr 2.79
Sn (0.0000, 0.5000, 0.0000)  2 S 2.65
Ni (0.5000, 0.5000, 0.5000)  8 Sr 3.85, 4 Sn 3.95

---

Record 7
## TaNiSnS3 (PBE)

Data for a relaxed TaNiSnS3 crystal.

Values from the calculation:
E_form (uncorrected): -3.52 eV/f.u.

Cell lengths 3.3414, 9.0386, 8.8544 Å; angles 113.82, 90.00, 90.00 degrees
Last column: nearest neighbours and their distance in Å.
Positions (direct):
Ta (0.2500, 0.6863, 0.1650)  6 S 2.40-2.62
Ta (0.7500, 0.3137, 0.8350)  6 S 2.40-2.62
Ni (0.2500, 0.0757, 0.6250)  4 S 2.23-2.30
Ni (0.7500, 0.9243, 0.3750)  4 S 2.23-2.30
Sn (0.2500, 0.1936, 0.2419)  3 S 2.90-3.10
Sn (0.7500, 0.8064, 0.7581)  3 S 2.90-3.10
S (0.7500, 0.8557, 0.1030)  1 Ni 2.23, 2 Ta 2.47
S (0.2500, 0.1443, 0.8970)  1 Ni 2.23, 2 Ta 2.47
S (0.2500, 0.8023, 0.4615)  3 Ni 2.30, 1 Ta 2.40
S (0.7500, 0.1977, 0.5385)  3 Ni 2.30, 1 Ta 2.40
S (0.7500, 0.4773, 0.1553)  3 Ta 2.50-2.62
S (0.2500, 0.5227, 0.8447)  3 Ta 2.50-2.62

---

Record 8
## NiSn2TeS (PBE)

Data for a relaxed NiSn2TeS crystal.

Values from the calculation:
E_form (uncorrected): 0.87 eV/f.u.

Cell lengths 5.1724, 4.7213, 5.1724 Å; angles 90.00, 90.00, 90.00 degrees
Last column: nearest neighbours and their distance in Å.
Positions (direct):
Ni (0.0000, 0.0000, 0.0000)  2 Te 2.36, 4 Sn 2.59
S (0.5000, 0.5000, 0.5000)  8 Sn 3.50, 4 Te 3.66
Te (0.0000, 0.5000, 0.0000)  2 Ni 2.36
Sn (0.0000, 0.0000, 0.5000)  2 Ni 2.59
Sn (0.5000, 0.0000, 0.0000)  2 Ni 2.59

---

Record 9
## TiNiSn2S (PBE)

Data for a relaxed TiNiSn2S crystal.

Values from the calculation:
E_form (uncorrected): 2.58 eV/f.u.

Cell lengths 5.1717, 4.4016, 5.1717 Å; angles 90.00, 90.00, 90.00 degrees
Last column: nearest neighbours and their distance in Å.
Positions (direct):
Ni (0.5000, 0.5000, 0.5000)  8 Sn 3.40, 4 Ti 3.66
S (0.0000, 0.0000, 0.0000)  2 Ti 2.20
Sn (0.0000, 0.0000, 0.5000)  2 S 2.59
Sn (0.5000, 0.0000, 0.0000)  2 S 2.59
Ti (0.0000, 0.5000, 0.0000)  2 S 2.20

---

Record 10
## Tl2NiSnS (PBE)

Data for a relaxed Tl2NiSnS crystal.

Values from the calculation:
E_form (uncorrected): 0.22 eV/f.u.

Cell lengths 5.6464, 4.0625, 5.6464 Å; angles 90.00, 90.00, 90.00 degrees
Last column: nearest neighbours and their distance in Å.
Positions (direct):
S (0.0000, 0.5000, 0.0000)  2 Ni 2.03
Ni (0.0000, 0.0000, 0.0000)  2 S 2.03
Tl (0.0000, 0.0000, 0.5000)  2 Ni 2.82
Tl (0.5000, 0.0000, 0.0000)  2 Ni 2.82
Sn (0.5000, 0.5000, 0.5000)  8 Tl 3.48

---

Record 11
## TlNiSnS3 (PBE)

Data for a relaxed TlNiSnS3 crystal.

Values from the calculation:
E_form (uncorrected): -2.15 eV/f.u.

Cell lengths 3.9425, 8.8525, 8.7132 Å; angles 106.69, 90.00, 90.00 degrees
Last column: nearest neighbours and their distance in Å.
Positions (direct):
Tl (0.2500, 0.1779, 0.2254)  7 S 3.23-3.41, 1 Ni 3.33
Tl (0.7500, 0.8221, 0.7746)  7 S 3.23-3.41, 1 Ni 3.33
Ni (0.2500, 0.0799, 0.5664)  4 S 2.21-2.33
Ni (0.7500, 0.9201, 0.4336)  4 S 2.21-2.33
Sn (0.2500, 0.6645, 0.1436)  6 S 2.60-2.72
Sn (0.7500, 0.3355, 0.8564)  6 S 2.60-2.72
S (0.7500, 0.8684, 0.1558)  1 Ni 2.33
S (0.2500, 0.1316, 0.8442)  1 Ni 2.33
S (0.2500, 0.8156, 0.4536)  3 Ni 2.21-2.26
S (0.7500, 0.1844, 0.5464)  3 Ni 2.21-2.26
S (0.7500, 0.4601, 0.1654)  3 Sn 2.60-2.72
S (0.2500, 0.5399, 0.8346)  3 Sn 2.60-2.72

---

Record 12
## UNiSnS4 (PBE)

Data for a relaxed UNiSnS4 crystal.

Values from the calculation:
E_form (uncorrected): -5.45 eV/f.u.

Cell lengths 6.4250, 5.6227, 8.1396 Å; angles 90.00, 106.76, 90.00 degrees
Last column: nearest neighbours and their distance in Å.
Positions (direct):
U (0.7483, 0.7500, 0.4456)  6 S 2.69-2.79
U (0.2517, 0.2500, 0.5544)  6 S 2.69-2.79
Ni (0.2356, 0.7500, 0.3426)  4 S 2.16-2.31
Ni (0.7644, 0.2500, 0.6574)  4 S 2.16-2.31
Sn (0.7108, 0.7500, 0.9514)  4 S 2.71-2.98
Sn (0.2892, 0.2500, 0.0486)  4 S 2.71-2.98
S (0.0212, 0.5109, 0.7263)  1 Ni 2.16
S (0.9788, 0.0109, 0.2737)  1 Ni 2.16
S (0.9788, 0.4891, 0.2737)  1 Ni 2.16
S (0.0212, 0.9891, 0.7263)  1 Ni 2.16
S (0.4278, 0.7500, 0.1420)  1 Ni 2.31
S (0.5722, 0.2500, 0.8580)  1 Ni 2.31
S (0.4366, 0.7500, 0.6060)  1 Ni 2.16
S (0.5634, 0.2500, 0.3940)  1 Ni 2.16